[1]
Below is crystalline CrSiAs2 at its relaxed geometry, with properties calculated at the PBE level.

The structure in POSCAR format:
```
CrSiAs2
1.0
-5.449 -6.917 1.595
-2.982 -7.944 2.842
-4.781 -6.175 4.369
As Cr Si
2 1 1
Cartesian
-13.004 -20.706 8.667
-6.814 -10.850 4.542
-3.303 -5.259 2.201
-9.909 -15.778 6.604
```

Output
- E_form (uncorrected): 247 meV per atom
- Total moment: 0.1118 μB per atom
- Space-group type: No. 166
- Calculated volume: 16.5 Å³/atom

[2]
Below is crystalline Cr2SiAs at its relaxed geometry, with properties calculated at the PBE level.

The structure in POSCAR format:
```
Cr2SiAs
1.0
-3.820 0.176 -1.774
-3.971 -1.142 0.833
-1.463 3.953 1.914
Cr Si As
2 1 1
Cartesian
-4.638 1.460 0.469
-7.780 -0.933 -0.924
-2.313 0.747 0.243
-6.940 2.240 0.730
```

Output
- E_form (uncorrected): 144 meV per atom
- Total moment: 0.5509 μB per atom
- Energy above the lowest structure with this stoichiometry: 244.0 meV/atom
- Space-group type: No. 12
- Calculated volume: 13.2 Å³/atom

Question: Number 2 is which compound?
Answer: Cr2SiAs

Question: The highest E_form (uncorrected) belongs to which entry?
Answer: CrSiAs2

Question: What is the formula in the first record?
Answer: CrSiAs2